(1)
Computed, not measured: an optimized crystal structure of Ca2TlReTc at the PBE level of DFT.

a = 5.6052 Å, b = 5.6052 Å, c = 5.1129 Å
α = 90.00°, β = 90.00°, γ = 90.00°
Space group P4/mmm (No. 123)
Inequivalent atoms, fractional coordinates:
Ca 0.0000 0.5000 0.0000 [2 per cell]
Tl 0.0000 0.0000 0.0000 [1 per cell]
Re 0.0000 0.0000 0.5000 [1 per cell]
Tc 0.5000 0.5000 0.5000 [1 per cell]

Properties
calculated volume: 32.13 Å³/atom
energy of formation: 1.82 eV/atom

---

(2)
Computed, not measured: an optimized crystal structure of CaReTe at the PBE level of DFT.

a = 6.5766 Å, b = 6.5766 Å, c = 6.5766 Å
α = 90.00°, β = 90.00°, γ = 90.00°
Space group F-43m (No. 216)
Inequivalent atoms, fractional coordinates:
Ca 0.0000 0.0000 0.0000 [4 per cell]
Re 0.2500 0.2500 0.7500 [4 per cell]
Te 0.0000 0.0000 0.5000 [4 per cell]

Properties
calculated volume: 23.70 Å³/atom
formation energy (no corrections): 0.556 eV per atom

---

(3)
Computed, not measured: an optimized crystal structure of CaReTe at the PBE level of DFT.

a = 7.0031 Å, b = 7.0031 Å, c = 7.0031 Å
α = 90.00°, β = 90.00°, γ = 90.00°
Space group F-43m (No. 216)
Inequivalent atoms, fractional coordinates:
Ca 0.0000 0.0000 0.0000 [4 per cell]
Re 0.2500 0.2500 0.2500 [4 per cell]
Te 0.2500 0.2500 0.7500 [4 per cell]

Properties
calculated volume: 28.62 Å³/atom
formation energy (no corrections): 1.249 eV per atom

---

(4)
Computed, not measured: an optimized crystal structure of CaReTe at the PBE level of DFT.

a = 3.5193 Å, b = 3.5193 Å, c = 6.7563 Å
α = 90.00°, β = 90.00°, γ = 120.00°
Space group P3m1 (No. 156)
Inequivalent atoms, fractional coordinates:
Ca 0.0000 0.0000 0.0000 [1 per cell]
Re 0.6667 0.3333 0.3434 [1 per cell]
Te 0.3333 0.6667 0.5942 [1 per cell]

Properties
calculated volume: 24.16 Å³/atom
formation energy (no corrections): 0.379 eV per atom

---

(5)
Computed, not measured: an optimized crystal structure of CaReTe at the PBE level of DFT.

a = 3.4205 Å, b = 3.4205 Å, c = 11.6711 Å
α = 90.00°, β = 90.00°, γ = 90.00°
Space group I4mm (No. 107)
Inequivalent atoms, fractional coordinates:
Ca 0.0000 0.0000 0.0000 [2 per cell]
Re 0.0000 0.0000 0.6825 [2 per cell]
Te 0.0000 0.0000 0.2882 [2 per cell]

Properties
calculated volume: 22.76 Å³/atom
formation energy (no corrections): 0.167 eV per atom

---

(6)
Computed, not measured: an optimized crystal structure of Ca2ReTe2 at the PBE level of DFT.

a = 7.5184 Å, b = 7.5184 Å, c = 4.4877 Å
α = 90.00°, β = 90.00°, γ = 90.00°
Space group P4/mbm (No. 127)
Inequivalent atoms, fractional coordinates:
Ca 0.1574 0.3426 0.0000 [4 per cell]
Re 0.0000 0.0000 0.5000 [2 per cell]
Te 0.1621 0.6621 0.5000 [4 per cell]

Properties
calculated volume: 25.37 Å³/atom
formation energy (no corrections): -0.244 eV per atom

---

(7)
Computed, not measured: an optimized crystal structure of Ca2ReTe2 at the PBE level of DFT.

a = 6.1660 Å, b = 6.1660 Å, c = 8.9191 Å
α = 90.00°, β = 90.00°, γ = 90.00°
Space group I4/mmm (No. 139)
Inequivalent atoms, fractional coordinates:
Ca 0.0000 0.5000 0.2500 [4 per cell]
Re 0.0000 0.0000 0.0000 [2 per cell]
Te 0.0000 0.0000 0.2976 [4 per cell]

Properties
calculated volume: 33.91 Å³/atom
formation energy (no corrections): -0.041 eV per atom

---

(8)
Computed, not measured: an optimized crystal structure of CaReTe3 at the PBE level of DFT.

a = 5.3894 Å, b = 5.3894 Å, c = 5.3894 Å
α = 90.00°, β = 90.00°, γ = 90.00°
Space group Pm-3m (No. 221)
Inequivalent atoms, fractional coordinates:
Ca 0.0000 0.0000 0.0000 [1 per cell]
Re 0.5000 0.5000 0.5000 [1 per cell]
Te 0.0000 0.5000 0.5000 [3 per cell]

Properties
calculated volume: 31.31 Å³/atom
formation energy (no corrections): 0.152 eV per atom

---

Question: What is the calculated volume in the second record?
Answer: 23.70 Å³/atom

---

Question: Which of these has the lowest calculated volume?
Answer: number 5

---

Repeat the sixth record exactly.
Computed, not measured: an optimized crystal structure of Ca2ReTe2 at the PBE level of DFT.

a = 7.5184 Å, b = 7.5184 Å, c = 4.4877 Å
α = 90.00°, β = 90.00°, γ = 90.00°
Space group P4/mbm (No. 127)
Inequivalent atoms, fractional coordinates:
Ca 0.1574 0.3426 0.0000 [4 per cell]
Re 0.0000 0.0000 0.5000 [2 per cell]
Te 0.1621 0.6621 0.5000 [4 per cell]

Properties
calculated volume: 25.37 Å³/atom
formation energy (no corrections): -0.244 eV per atom